# Cr2PtAu

Cr2PtAu after structural relaxation (PBE-GGA, Alexandria).

Cell: 4.4627 4.4627 4.4627 Å, 60.00 60.00 60.00°
Atoms (fractional coordinates):
1 Cr 0.0000 0.0000 0.0000
2 Cr 0.2500 0.2500 0.2500
3 Pt 0.7500 0.7500 0.7500
4 Au 0.5000 0.5000 0.5000



# Cr2PtAu

Cr2PtAu after structural relaxation (PBE-GGA, Alexandria).

Cell: 2.7185 2.7185 7.8236 Å, 90.00 90.00 90.00°
Atoms (fractional coordinates):
1 Cr 0.0000 0.0000 0.2401
2 Cr 0.0000 0.0000 0.7599
3 Pt 0.5000 0.5000 0.0000
4 Au 0.5000 0.5000 0.5000



For reference, DFT formation energy by record: 109, 167 meV/atom.